[1]
# LiYCd6

A geometry-optimized LiYCd6 structure (PBE, Alexandria).

Calculated values
formation enthalpy at 0 K	-1.72	eV per formula unit
energy	-1.949	eV/atom
energy relative to the lowest polymorph listed for this composition	0	meV/atom
density of states at the Fermi level	3.63	states/eV/f.u.

Cell: 4.9544 4.9544 8.7550 Å, 73.56 73.56 60.00°
With the nearest neighbours (Å) after each atom.
Element x y z (fractional)
Cd 0.1149 0.1149 0.6552  1 Li 2.85, 3 Cd 2.95, 3 Y 3.14
Y 0.5000 0.5000 0.5000  14 Cd 3.14-3.48
Cd 0.3694 0.3694 0.8919  3 Li 3.00, 4 Cd 3.04-3.12, 1 Y 3.24
Cd 0.8851 0.8851 0.3448  1 Li 2.85, 3 Cd 2.95, 3 Y 3.14
Cd 0.2467 0.2467 0.2599  8 Cd 2.95-3.27
Cd 0.6306 0.6306 0.1081  3 Li 3.00, 4 Cd 3.04-3.12, 1 Y 3.24
Cd 0.7533 0.7533 0.7401  8 Cd 2.95-3.27
Li 0.0000 0.0000 0.0000  8 Cd 2.85-3.00

---

[2]
# LiCF6

A geometry-optimized LiCF6 structure (PBE, Alexandria).

Calculated values
energy	-4.012	eV/atom
formation energy (no corrections)	-939	kJ/mol of formula units
density of states at the Fermi level	9.88	states/eV/f.u.

Cell: 4.7728 4.7721 5.0354 Å, 61.72 61.70 59.97°
With the nearest neighbours (Å) after each atom.
Element x y z (fractional)
F 0.9073 0.6756 0.2124  1 C 1.55
F 0.6757 0.2043 0.2128  1 C 1.55
C 0.0000 0.0000 0.0000  6 F 1.55
F 0.3243 0.7957 0.7872  1 C 1.55
F 0.7954 0.0931 0.7873  1 C 1.55
F 0.2046 0.9069 0.2127  1 C 1.55
Li 0.5000 0.5000 0.5000  6 F 2.09-2.10
F 0.0927 0.3244 0.7876  1 C 1.55

---

[3]
# TbZrCoAg

A geometry-optimized TbZrCoAg structure (PBE, Alexandria).

Calculated values
formation enthalpy at 0 K	-0.22	eV per formula unit
energy	-5.840	eV/atom
density of states at the Fermi level	3.62	states/eV/f.u.

Cell: 4.8360 4.8360 4.8360 Å, 60.00 60.00 60.00°
With the nearest neighbours (Å) after each atom.
Element x y z (fractional)
Ag 0.2500 0.2500 0.2500  4 Zr 2.96, 4 Tb 2.96
Zr 0.5000 0.5000 0.5000  4 Co 2.96, 4 Ag 2.96
Tb 0.0000 0.0000 0.0000  4 Ag 2.96, 4 Co 2.96
Co 0.7500 0.7500 0.7500  4 Zr 2.96, 4 Tb 2.96

---

[4]
# MnFeOs2

A geometry-optimized MnFeOs2 structure (PBE, Alexandria).

Calculated values
formation enthalpy at 0 K	0.64	eV per formula unit
energy	-9.862	eV/atom
density of states at the Fermi level	3.86	states/eV/f.u.

Cell: 4.9482 4.9482 4.9482 Å, 145.11 129.77 62.62°
With the nearest neighbours (Å) after each atom.
Element x y z (fractional)
Os 0.0076 0.0076 0.0000  4 Fe 2.57, 2 Mn 2.60, 4 Os 2.70-2.88
Os 0.7413 0.2413 0.5000  4 Mn 2.58, 2 Fe 2.58, 4 Os 2.70-2.88
Fe 0.4915 0.4915 0.0000  2 Mn 2.46, 6 Os 2.57-2.58
Mn 0.2595 0.7595 0.5000  2 Fe 2.46, 6 Os 2.58-2.60

---

[5]
# K2RbLiHf

A geometry-optimized K2RbLiHf structure (PBE, Alexandria).

Calculated values
formation enthalpy at 0 K	6.04	eV per formula unit
energy	-1.798	eV/atom
density of states at the Fermi level	4.83	states/eV/f.u.

Cell: 6.9034 7.0346 6.9034 Å, 90.00 90.00 90.00°
With the nearest neighbours (Å) after each atom.
Element x y z (fractional)
K 0.5000 0.0000 0.0000  2 Hf 3.45
Rb 0.0000 0.5000 0.0000  2 Hf 3.52
Li 0.5000 0.5000 0.5000  4 Rb 4.88, 8 K 4.93
Hf 0.0000 0.0000 0.0000  4 K 3.45, 2 Rb 3.52
K 0.0000 0.0000 0.5000  2 Hf 3.45

---

[6]
# NdSm4

A geometry-optimized NdSm4 structure (PBE, Alexandria).

Calculated values
formation enthalpy at 0 K	3.11	eV per formula unit
energy	-4.108	eV/atom
energy relative to the lowest polymorph listed for this composition	610	meV/atom
density of states at the Fermi level	9.72	states/eV/f.u.

Cell: 5.7826 5.7826 5.7826 Å, 90.00 90.00 90.00°
With the nearest neighbours (Å) after each atom.
Element x y z (fractional)
Nd 0.5000 0.5000 0.5000  6 Sm 2.89
Sm 0.5000 0.0000 0.5000  2 Nd 2.89
Sm 0.0000 0.5000 0.5000  2 Nd 2.89
Sm 0.5000 0.5000 0.0000  2 Nd 2.89
Sm 0.0000 0.0000 0.0000  12 Sm 4.09

---

[7]
# ZrAl2H

A geometry-optimized ZrAl2H structure (PBE, Alexandria).

Calculated values
energy	-4.220	eV/atom
energy relative to the lowest polymorph listed for this composition	699	meV/atom
density of states at the Fermi level	5.34	states/eV/f.u.

Cell: 4.5735 4.5735 4.5735 Å, 60.00 60.00 60.00°
With the nearest neighbours (Å) after each atom.
Element x y z (fractional)
Al 0.2500 0.2500 0.2500  4 Zr 2.80, 4 H 2.80
Al 0.7500 0.7500 0.7500  4 H 2.80, 4 Zr 2.80
Zr 0.5000 0.5000 0.5000  8 Al 2.80
H 0.0000 0.0000 0.0000  8 Al 2.80

---

[8]
# Al2TlOsO8

A geometry-optimized Al2TlOsO8 structure (PBE, Alexandria).

Calculated values
energy	-6.661	eV/atom
formation energy (no corrections)	-1851	kJ/mol of formula units
density of states at the Fermi level	3.76	states/eV/f.u.

Cell: 4.5612 4.5644 6.3397 Å, 90.00 90.00 90.26°
With the nearest neighbours (Å) after each atom.
Element x y z (fractional)
O 0.6741 0.6732 0.5000  2 Al 1.93, 1 Tl 2.10
O 0.2114 0.7896 0.7908  1 Al 1.89, 1 Os 1.90
Al 0.5000 0.5000 0.7473  6 O 1.89-2.06
Tl 0.0000 0.0000 0.5000  6 O 2.10-2.29
Os 0.0000 0.0000 0.0000  6 O 1.90-1.92
O 0.7886 0.2104 0.7908  1 Al 1.89, 1 Os 1.90
O 0.2114 0.7896 0.2092  1 Al 1.89, 1 Os 1.90
Al 0.5000 0.5000 0.2527  6 O 1.89-2.06
O 0.7886 0.2104 0.2092  1 Al 1.89, 1 Os 1.90
O 0.3259 0.3268 0.5000  2 Al 1.93, 1 Tl 2.10
O 0.7021 0.7013 0.0000  1 Os 1.92, 2 Al 2.06
O 0.2979 0.2987 0.0000  1 Os 1.92, 2 Al 2.06

---

Calculated total moment in order - 0.00, 0.13, 0.06, 1.32, 0.80, 0.00, 0.00, 0.07 μB per atom